Here is crystalline Nd11Tl9Au4 at its relaxed geometry from the Alexandria database. Energies are from PBE-GGA.

## Properties
volume = 28.37 Å³ per atom
ΔE_f = -0.52 eV per atom
total magnetic moment = 0.0 μB per cell

a b c (Å): 15.225 23.041 3.882
angles (deg): 90.00 90.00 90.00
Space group Cmmm (No. 65)
Unique sites:
Nd  0.000  0.000  0.000 x2
Nd  0.000  0.164  0.000 x4
Nd  0.000  0.368  0.000 x4
Nd  0.199  0.500  0.000 x4
Nd  0.242  0.171  0.000 x8
Tl  0.000  0.500  0.500 x2
Tl  0.108  0.260  0.500 x8
Tl  0.138  0.074  0.500 x8
Au  0.151  0.401  0.500 x8